[1]
## Ba7AgN2 (PBE)

Data for a relaxed Ba7AgN2 crystal.

Geometry as POSCAR:
```
Ba7AgN2
1.0
4.714 -10.578 0.000
4.714 10.578 0.000
0.000 0.000 4.327
Ba Ag N
7 1 2
Direct
0.000 0.000 0.000
0.169 0.398 0.000
0.202 0.798 0.500
0.398 0.169 0.000
0.602 0.831 0.000
0.798 0.202 0.500
0.831 0.602 0.000
0.500 0.500 0.500
0.129 0.871 0.000
0.871 0.129 0.000
```

Properties
Its symmetry is No. 65. The value obtained for the total magnetic moment is 0.04 Bohr magnetons per cell. The calculation puts the formation energy (no corrections) at -0.147 eV/atom. As for the density of states at the Fermi level: 8.06 states/eV per cell.

[2]
## CdNi2HgRh (PBE)

Data for a relaxed CdNi2HgRh crystal.

Geometry as POSCAR:
```
CdNi2HgRh
1.0
4.600 0.000 0.000
0.000 4.600 0.000
0.000 0.000 5.134
Cd Ni Hg Rh
1 2 1 1
Direct
0.000 0.000 0.000
0.000 0.500 0.500
0.500 0.000 0.500
0.500 0.500 0.000
0.000 0.000 0.500
```

Properties
Its symmetry is No. 123. Its raw total energy is -15.89 eV for the cell shown. The value obtained for the total magnetic moment is 2.49 Bohr magnetons per cell. As for the density of states at the Fermi level: 4.82 states/eV per cell.

[3]
## TbTc4Ge12 (PBE)

Data for a relaxed TbTc4Ge12 crystal.

Geometry as POSCAR:
```
TbTc4Ge12
1.0
-4.398 4.398 4.398
4.398 -4.398 4.398
4.398 4.398 -4.398
Tb Tc Ge
1 4 12
Direct
0.000 0.000 0.000
0.000 0.000 0.500
0.000 0.500 0.000
0.500 0.000 0.000
0.500 0.500 0.500
0.157 0.494 0.338
0.157 0.819 0.662
0.181 0.338 0.843
0.338 0.157 0.494
0.338 0.843 0.181
0.494 0.338 0.157
0.506 0.662 0.843
0.662 0.157 0.819
0.662 0.843 0.506
0.819 0.662 0.157
0.843 0.181 0.338
0.843 0.506 0.662
```

Properties
Its symmetry is No. 204. Its raw total energy is -98.37 eV for the cell shown. The value obtained for the total magnetic moment is 0.00 Bohr magnetons per cell. As for the density of states at the Fermi level: 15.78 states/eV per cell.

[4]
## NaHoZnSe3 (PBE)

Data for a relaxed NaHoZnSe3 crystal.

Geometry as POSCAR:
```
NaHoZnSe3
1.0
8.368 0.000 0.000
0.000 4.086 0.000
-2.858 0.000 9.665
Na Ho Zn Se
2 2 2 6
Direct
0.191 0.250 0.178
0.809 0.750 0.822
0.327 0.750 0.852
0.673 0.250 0.148
0.080 0.250 0.603
0.920 0.750 0.397
0.083 0.250 0.848
0.224 0.750 0.545
0.438 0.750 0.148
0.562 0.250 0.852
0.776 0.250 0.455
0.917 0.750 0.152
```

Properties
Its symmetry is No. 11. The value obtained for the total magnetic moment is 0.00 Bohr magnetons per cell. The calculation puts the formation energy (no corrections) at -1.312 eV/atom. As for the density of states at the Fermi level: 0.00 states/eV per cell.

[5]
## SmInBi2 (PBE)

Data for a relaxed SmInBi2 crystal.

Geometry as POSCAR:
```
SmInBi2
1.0
4.592 0.000 0.000
0.000 4.592 0.000
0.000 0.000 11.494
Sm In Bi
2 2 4
Direct
0.250 0.250 0.227
0.750 0.750 0.773
0.250 0.750 0.500
0.750 0.250 0.500
0.250 0.250 0.733
0.250 0.750 0.000
0.750 0.250 0.000
0.750 0.750 0.267
```

Properties
Its symmetry is No. 129. The value obtained for the total magnetic moment is 0.00 Bohr magnetons per cell. Its polymorph energy (0 for the lowest one) is 23 meV/atom. As for the density of states at the Fermi level: 4.02 states/eV per cell.

[6]
## Tc2OsPb (PBE)

Data for a relaxed Tc2OsPb crystal.

Geometry as POSCAR:
```
Tc2OsPb
1.0
4.612 -1.475 0.000
4.612 1.475 0.000
-1.101 0.000 5.049
Tc Os Pb
2 1 1
Direct
0.237 0.237 0.199
0.763 0.763 0.801
0.500 0.500 0.000
0.000 0.000 0.500
```

Properties
Its symmetry is No. 12. Its raw total energy is -33.20 eV for the cell shown. The value obtained for the total magnetic moment is 0.00 Bohr magnetons per cell. As for the density of states at the Fermi level: 4.93 states/eV per cell.

[7]
## GdDySb2 (PBE)

Data for a relaxed GdDySb2 crystal.

Geometry as POSCAR:
```
GdDySb2
1.0
2.201 1.271 7.188
-2.201 1.271 7.188
0.000 -2.541 7.188
Gd Dy Sb
1 1 2
Direct
0.000 0.000 0.000
0.500 0.500 0.500
0.249 0.249 0.249
0.751 0.751 0.751
```

Properties
Its symmetry is No. 166. The value obtained for the total magnetic moment is 7.07 Bohr magnetons per cell. The calculation puts the formation energy (no corrections) at -1.152 eV/atom. As for the density of states at the Fermi level: 1.78 states/eV per cell.

[8]
## Pm8SiC3 (PBE)

Data for a relaxed Pm8SiC3 crystal.

Geometry as POSCAR:
```
Pm8SiC3
1.0
6.248 0.000 0.000
-3.124 5.411 0.000
0.000 0.000 8.861
Pm Si C
8 1 3
Direct
0.000 0.328 0.339
0.000 0.672 0.661
0.328 0.000 0.339
0.328 0.328 0.661
0.333 0.667 0.000
0.667 0.333 0.000
0.672 0.000 0.661
0.672 0.672 0.339
0.000 0.000 0.000
0.000 0.000 0.500
0.333 0.667 0.500
0.667 0.333 0.500
```

Properties
Its symmetry is No. 162. The value obtained for the total magnetic moment is 0.00 Bohr magnetons per cell. The calculation puts the formation energy (no corrections) at -0.079 eV/atom. As for the density of states at the Fermi level: 10.28 states/eV per cell.

Question: The highest total magnetic moment belongs to which entry?
Answer: GdDySb2

Question: What is the total magnetic moment in the second record?
Answer: 2.49 Bohr magnetons per cell